VASP calculation (PBE) on a geometry-optimized CaBe17Ru structure.

a b c (Å): 5.640 5.640 5.640
angles (deg): 82.89 82.89 82.89
Fractional coordinates of all 19 atoms:
Ca 0.000 0.000 0.000
Be 0.008 0.008 0.492
Be 0.008 0.492 0.008
Be 0.154 0.659 0.659
Be 0.320 0.320 0.796
Be 0.320 0.796 0.320
Be 0.370 0.650 0.954
Be 0.370 0.954 0.650
Be 0.492 0.008 0.008
Be 0.557 0.557 0.557
Be 0.650 0.370 0.954
Be 0.650 0.954 0.370
Be 0.659 0.154 0.659
Be 0.659 0.659 0.154
Be 0.751 0.751 0.751
Be 0.796 0.320 0.320
Be 0.954 0.370 0.650
Be 0.954 0.650 0.370
Ru 0.334 0.334 0.334

Computed properties:
Space-group type ... R3m, No. 160
Size of the total moment ... 0.0 Bohr magnetons per cell
Formation energy from the elements ... -0.0429 eV/atom
V ... 176 Å³/cell